(1)
VASP calculation (PBE-GGA) on a geometry-optimized La5ThBi6 structure.

Lattice parameters (Å, degrees): 8.1139 14.0509 8.1161 90.00 109.46 90.00
Space group C2/m (No. 12)
Unique sites:
La1 0.0000 0.0000 0.0000 x2
La2 0.0000 0.1660 0.5000 x4
La3 0.0000 0.3317 0.0000 x4
Th1 0.0000 0.5000 0.5000 x2
Bi1 0.2457 0.5000 0.2517 x4
Bi2 0.2467 0.3355 0.7471 x8

Values from the calculation:
The calculated total energy comes out at -5.605 eV per atom. The value obtained for the total magnetization is 0.0000 μB per atom. The energy of formation from the pure elements is -0.99 eV/atom.


(2)
VASP calculation (PBE-GGA) on a geometry-optimized CaTlCo2 structure.

Lattice parameters (Å, degrees): 6.6586 6.6586 6.6586 90.00 90.00 90.00
Space group F-43m (No. 216)
Unique sites:
Ca1 0.0000 0.0000 0.0000 x4
Tl1 0.2500 0.2500 0.2500 x4
Co1 0.0000 0.0000 0.5000 x4
Co2 0.2500 0.2500 0.7500 x4

Values from the calculation:
The calculated total energy comes out at -4.170 eV per atom. The value obtained for the total magnetization is 0.8016 μB per atom. The energy of formation from the pure elements is 0.48 eV/atom.


(3)
VASP calculation (PBE-GGA) on a geometry-optimized La6SiPd2I3 structure.

Lattice parameters (Å, degrees): 7.5944 13.1660 8.2605 90.00 107.83 90.00
Space group C2/m (No. 12)
Unique sites:
La1 0.2338 0.0000 0.2024 x4
La2 0.2350 0.3333 0.2023 x8
Si1 0.0000 0.5000 0.0000 x2
Pd1 0.0000 0.1672 0.0000 x4
I1 0.0000 0.0000 0.5000 x2
I2 0.0000 0.3364 0.5000 x4

Values from the calculation:
The calculated total energy comes out at -5.098 eV per atom. The value obtained for the total magnetization is 0.0000 μB per atom. The energy relative to the elements, uncorrected comes out at -929.9 meV per atom.


(4)
VASP calculation (PBE-GGA) on a geometry-optimized CoNi2IrS6 structure.

Lattice parameters (Å, degrees): 10.9449 10.2802 5.9352 90.00 102.55 90.00
Space group C2/c (No. 15)
Unique sites:
Co1 0.0000 0.2387 0.2500 x4
Ni1 0.1829 0.0797 0.8252 x8
Ir1 0.0000 0.4041 0.7500 x4
S1 0.1105 0.4118 0.1386 x8
S2 0.1222 0.2526 0.6186 x8
S3 0.1334 0.1005 0.1496 x8

Values from the calculation:
The calculated total energy comes out at -5.521 eV per atom. The value obtained for the total magnetization is 0.0000 μB per atom. The energy relative to the elements, uncorrected comes out at -291.5 meV per atom.